# 1
{"formula": "K3ZrMo", "functional": "PBE-GGA", "state": "relaxed", "cell": [[-5.0854, -0.2456, -4.2549], [-1.9275, -5.7754, 2.6372], [-3.8012, 3.2572, 4.3551]], "species": ["Mo", "K", "K", "K", "Zr"], "frac_coords": [[0.5000, 0.5000, 0.5000], [0.0000, 0.5000, 0.0000], [0.0000, 0.0000, 0.5000], [0.5000, 0.0000, 0.0000], [0.0000, 0.0000, 0.0000]], "polymorph_energy_mev_per_atom": 0.0, "space_group": "Pm-3m (221)", "ef_ev_per_atom": 2.008, "total_energy_ev_per_atom": -2.53, "rho_g_cm3": 1.73}

***

# 2
{"formula": "KZr3Mo", "functional": "PBE-GGA", "state": "relaxed", "cell": [[-3.0774, 4.1399, -0.9332], [-3.4175, -1.7341, 3.5768], [2.5160, 2.7082, 3.7169]], "species": ["Mo", "K", "Zr", "Zr", "Zr"], "frac_coords": [[0.0000, 0.0000, 0.0000], [0.5000, 0.5000, 0.5000], [0.0000, 0.5000, 0.0000], [0.0000, 0.0000, 0.5000], [0.5000, 0.0000, 0.0000]], "polymorph_energy_mev_per_atom": 0.0, "space_group": "Pm-3m (221)", "ef_ev_per_atom": 0.824, "total_energy_ev_per_atom": -6.69, "rho_g_cm3": 4.71}